Entry from the Alexandria database: an optimized crystal structure of Nd2EuCd (PBE).

Cell: 5.641 5.641 5.641 Å, 60.00 60.00 60.00°
Each line ends with the local moment (μB).
Positions (direct):
Eu 0.000 0.000 0.000  6.88
Nd 0.750 0.750 0.750  0.03
Nd 0.250 0.250 0.250  0.03
Cd 0.500 0.500 0.500  -0.01

Calculated values
total DFT energy (no corrections): -5.224 eV per atom
calculated formation energy: -0.04 eV/atom
energy relative to the lowest polymorph listed for this composition: 68 meV per atom
N(E_F): 3.969 states/eV per cell